No. 1
## TbCe4P6 (PBE-GGA)

Data for TbCe4P6 after structural relaxation.

Summary:
Symmetry: R-3c
Total energy (eV for the cell shown): -148.8
Formation energy (eV/f.u.): -13.59

Unit cell a=7.962 b=7.962 c=7.962 alpha=88.73 beta=88.73 gamma=88.73
Sites, in units of the cell vectors:
1 Tb 0.000 0.000 0.000
2 Tb 0.500 0.500 0.500
3 Ce 0.130 0.750 0.370
4 Ce 0.250 0.250 0.250
5 Ce 0.250 0.630 0.870
6 Ce 0.370 0.130 0.750
7 Ce 0.630 0.870 0.250
8 Ce 0.750 0.370 0.130
9 Ce 0.750 0.750 0.750
10 Ce 0.870 0.250 0.630
11 P 0.068 0.914 0.677
12 P 0.086 0.323 0.932
13 P 0.177 0.414 0.568
14 P 0.323 0.932 0.086
15 P 0.414 0.568 0.177
16 P 0.432 0.823 0.586
17 P 0.568 0.177 0.414
18 P 0.586 0.432 0.823
19 P 0.677 0.068 0.914
20 P 0.823 0.586 0.432
21 P 0.914 0.677 0.068
22 P 0.932 0.086 0.323

No. 2
## Tb2CeThP4 (PBE-GGA)

Data for Tb2CeThP4 after structural relaxation.

Summary:
Symmetry: P2/m
Total energy (eV for the cell shown): -56.9
Formation energy (eV/f.u.): -12.66

Unit cell a=7.042 b=4.084 c=7.068 alpha=90.00 beta=109.57 gamma=90.00
Sites, in units of the cell vectors:
1 Tb 0.000 0.000 0.000
2 Tb 0.000 0.500 0.500
3 Ce 0.500 0.000 0.500
4 Th 0.500 0.500 0.000
5 P 0.246 0.000 0.747
6 P 0.247 0.500 0.250
7 P 0.753 0.500 0.750
8 P 0.754 0.000 0.253

| no. | size of the total moment (μB/atom) |
| --- | --- |
| 1 | 0.11 |
| 2 | 0.08 |